Sm2Y15Er2 | PBE-GGA | relaxed

```
Sm2Y15Er2
1.0
-2.230 -1.799 -8.302
-4.879 -7.218 1.106
-8.096 3.388 -0.328
Y Sm Er
15 2 2
direct
0.500 0.000 0.000
0.849 0.373 0.373
0.373 0.849 0.373
0.698 0.000 0.302
0.000 0.302 0.698
0.000 0.698 0.302
0.698 0.302 0.000
0.000 0.000 0.500
0.627 0.151 0.627
0.302 0.698 0.000
0.151 0.627 0.627
0.627 0.627 0.151
0.302 0.000 0.698
0.000 0.500 0.000
0.373 0.373 0.849
0.904 0.904 0.904
0.096 0.096 0.096
0.320 0.320 0.320
0.680 0.680 0.680
```

Summary:
* formation enthalpy at 0 K: 0.31 eV/atom
* energy: -5.77 eV/atom
* space group: R-3m, No. 166


Cs2LaBr5 | PBE-GGA | relaxed

```
Cs2LaBr5
1.0
-0.344 -3.563 8.427
3.858 -8.265 -3.337
13.443 5.170 2.734
Cs Br La
8 20 4
direct
0.565 0.494 0.330
0.435 0.994 0.670
0.935 0.494 0.830
0.935 0.006 0.830
0.565 0.006 0.330
0.435 0.506 0.670
0.065 0.994 0.170
0.065 0.506 0.170
0.662 0.043 0.066
0.338 0.543 0.934
0.107 0.750 0.676
0.144 0.250 0.692
0.356 0.250 0.192
0.893 0.250 0.324
0.604 0.750 0.514
0.607 0.250 0.824
0.838 0.457 0.566
0.662 0.457 0.066
0.856 0.750 0.308
0.162 0.957 0.434
0.396 0.250 0.486
0.393 0.750 0.176
0.644 0.750 0.808
0.838 0.043 0.566
0.338 0.957 0.934
0.104 0.250 0.986
0.162 0.543 0.434
0.896 0.750 0.014
0.433 0.250 0.995
0.567 0.750 0.005
0.933 0.750 0.505
0.067 0.250 0.495
```

Summary:
* energy: -3.82 eV/atom
* formation energy without anion corrections: -44.86 kcal/mol of atoms
* space group: Pnma, No. 62
* ΔE to the lowest computed polymorph: 0.000 eV per atom